ZnIn2P: relaxed, PBE.

Summary:
As for the total DFT energy (no corrections): -2.809 eV/atom. The energy relative to the lowest polymorph listed for this composition comes out at 207 meV per atom. For the density of states at the Fermi level, the calculation gives 1.784 states/eV/cell. The energy of formation is 231 meV per atom.

Geometry as POSCAR:
```
ZnIn2P
1.0
2.9263 -3.8521 0.0000
2.9263 3.8521 0.0000
-1.0628 0.0000 3.8406
Zn In P
1 2 1
direct
0.0000 0.0000 0.0000 Zn
0.0000 0.5000 0.5000 In
0.5000 0.0000 0.5000 In
0.5000 0.5000 0.0000 P
```

ZnInP2: relaxed, PBE.

Summary:
As for the total DFT energy (no corrections): -3.340 eV/atom. For the density of states at the Fermi level, the calculation gives 1.975 states/eV/cell. The energy of formation is 368 meV per atom.

Geometry as POSCAR:
```
ZnInP2
1.0
1.5880 -2.8250 0.0000
1.5880 2.8250 0.0000
0.0000 0.0000 9.2550
Zn In P
1 1 2
direct
0.0000 0.0000 0.0000 Zn
0.5000 0.5000 0.7222 In
0.0000 0.0000 0.4057 P
0.5000 0.5000 0.2449 P
```

Question: Which value of energy of formation does entry 2 give?
Answer: 368 meV per atom

Question: The highest energy of formation belongs to which entry?
Answer: ZnInP2

Question: What is the formula in the first record?
Answer: ZnIn2P

Question: Among the records above, which one has the highest density of states at the Fermi level?
Answer: ZnInP2